(1)
VASP calculation (PBE-GGA) on Mn2BeP after structural relaxation.

Values from the calculation:
crystal system: orthorhombic
DFT formation energy: -90 kJ/mol of formula units
total moment: 2.3 μB per formula unit

Cell lengths 3.7795, 3.7795, 2.7930 Å; angles 90.00, 90.00, 90.15 degrees
Last column: nearest neighbours and their distance in Å.
Sites, in units of the cell vectors:
Mn1 0.0000 0.5000 0.0000  4 P 2.35, 4 Be 2.35
Mn2 0.5000 0.0000 0.0000  4 P 2.35, 4 Be 2.35
Be1 0.0000 0.0000 0.5000  8 Mn 2.35
P1 0.5000 0.5000 0.5000  8 Mn 2.35

(2)
VASP calculation (PBE-GGA) on Sc3GePt2 after structural relaxation.

Values from the calculation:
crystal system: orthorhombic
DFT formation energy: -565 kJ/mol of formula units
total moment: 0.0 μB per formula unit

Cell lengths 11.2042, 4.2548, 9.7584 Å; angles 90.00, 90.00, 90.00 degrees
Last column: nearest neighbours and their distance in Å.
Sites, in units of the cell vectors:
Sc1 0.0432 0.2500 0.1161  5 Pt 2.74-2.81, 1 Ge 2.78
Sc2 0.1068 0.7500 0.5768  3 Pt 2.85-2.87, 3 Ge 2.88-2.93
Sc3 0.1993 0.2500 0.8127  3 Pt 2.73-2.98, 2 Ge 2.81
Sc4 0.3007 0.7500 0.3127  3 Pt 2.73-2.98, 2 Ge 2.81
Sc5 0.3932 0.2500 0.0768  3 Pt 2.85-2.87, 3 Ge 2.88-2.93
Sc6 0.4568 0.7500 0.6161  5 Pt 2.74-2.81, 1 Ge 2.78
Sc7 0.5432 0.2500 0.3839  5 Pt 2.74-2.81, 1 Ge 2.78
Sc8 0.6068 0.7500 0.9232  3 Pt 2.85-2.87, 3 Ge 2.88-2.93
Sc9 0.6993 0.2500 0.6873  3 Pt 2.73-2.98, 2 Ge 2.81
Sc10 0.8007 0.7500 0.1873  3 Pt 2.73-2.98, 2 Ge 2.81
Sc11 0.8932 0.2500 0.4232  3 Pt 2.85-2.87, 3 Ge 2.88-2.93
Sc12 0.9568 0.7500 0.8839  5 Pt 2.74-2.81, 1 Ge 2.78
Ge1 0.1466 0.2500 0.3751  3 Pt 2.47-2.64
Ge2 0.3534 0.7500 0.8751  3 Pt 2.47-2.64
Ge3 0.6466 0.2500 0.1249  3 Pt 2.47-2.64
Ge4 0.8534 0.7500 0.6249  3 Pt 2.47-2.64
Pt1 0.0238 0.7500 0.2989  2 Ge 2.64, 6 Sc 2.73-2.87
Pt2 0.1754 0.7500 0.0243  1 Ge 2.47, 2 Sc 2.74
Pt3 0.3246 0.2500 0.5243  1 Ge 2.47, 2 Sc 2.74
Pt4 0.4762 0.2500 0.7989  2 Ge 2.64, 6 Sc 2.73-2.87
Pt5 0.5238 0.7500 0.2011  2 Ge 2.64, 6 Sc 2.73-2.87
Pt6 0.6754 0.7500 0.4757  1 Ge 2.47, 2 Sc 2.74
Pt7 0.8246 0.2500 0.9757  1 Ge 2.47, 2 Sc 2.74
Pt8 0.9762 0.2500 0.7011  2 Ge 2.64, 6 Sc 2.73-2.87

(3)
VASP calculation (PBE-GGA) on TbTh6Se12 after structural relaxation.

Values from the calculation:
crystal system: trigonal
total moment: 0.0 μB per formula unit
energy: -6.45 eV per atom

Cell lengths 8.4341, 8.4341, 8.4341 Å; angles 100.35, 100.35, 100.35 degrees
Last column: nearest neighbours and their distance in Å.
Sites, in units of the cell vectors:
Tb1 0.0000 0.0000 0.0000  6 Se 2.82
Th1 0.1380 0.3081 0.6324  7 Se 2.91-3.19
Th2 0.3081 0.6324 0.1380  7 Se 2.91-3.19
Th3 0.3676 0.8620 0.6919  7 Se 2.91-3.19
Th4 0.6324 0.1380 0.3081  7 Se 2.91-3.19
Th5 0.6919 0.3676 0.8620  7 Se 2.91-3.19
Th6 0.8620 0.6919 0.3676  7 Se 2.91-3.19
Se1 0.0416 0.9359 0.6723  1 Tb 2.82, 2 Th 2.91-2.95
Se2 0.0641 0.3277 0.9584  1 Tb 2.82, 2 Th 2.91-2.95
Se3 0.1742 0.5633 0.4231  4 Th 2.94-3.05
Se4 0.3277 0.9584 0.0641  1 Tb 2.82, 2 Th 2.91-2.95
Se5 0.4231 0.1742 0.5633  4 Th 2.94-3.05
Se6 0.4367 0.5769 0.8258  4 Th 2.94-3.05
Se7 0.5633 0.4231 0.1742  4 Th 2.94-3.05
Se8 0.5769 0.8258 0.4367  4 Th 2.94-3.05
Se9 0.6723 0.0416 0.9359  1 Tb 2.82, 2 Th 2.91-2.95
Se10 0.8258 0.4367 0.5769  4 Th 2.94-3.05
Se11 0.9359 0.6723 0.0416  1 Tb 2.82, 2 Th 2.91-2.95
Se12 0.9584 0.0641 0.3277  1 Tb 2.82, 2 Th 2.91-2.95

Among the records above, which one has the highest total moment? Mn2BeP